Here is a relaxed Ba3Cd2Pt crystal from the Alexandria database. Energies are from GGA-PBE.

As for the electronic total energy: -16.15 eV/f.u. The volume comes out at 469.65 Å³ per cell. As for the formation energy: -0.418 eV/atom. For the magnetic moment, the calculation gives 0.00 μB/atom.

abc: 6.0459 8.8310 9.2938
angles: 90.00 108.83 90.00
Closest atoms and distances in Å follow each position.
Space group P2_1/m (No. 11)
Symmetry-distinct sites (fractional):
Ba 0.0004 0.2500 0.0001 x2  2 Pt 3.02
Ba 0.3674 0.0000 0.7333 x4  2 Pt 3.22, 2 Cd 3.60
Cd 0.2040 0.2500 0.4103 x2  2 Cd 3.40-3.42, 3 Ba 3.60-3.61
Cd 0.2044 0.7500 0.4103 x2  2 Cd 3.40-3.42, 3 Ba 3.60-3.61
Pt 0.5004 0.2500 0.0000 x2  6 Ba 3.02-3.22